P) A plane-wave DFT calculation with PBE was carried out for a relaxed structure of Y2Ag2Te.

The structure in CIF format:
```
data_Y2Ag2Te
_chemical_formula_sum 'Y4 Ag4 Te2'
_cell_length_a 7.8864
_cell_length_b 7.8864
_cell_length_c 4.0408
_cell_angle_alpha 90.00
_cell_angle_beta 90.00
_cell_angle_gamma 90.00
_space_group_name_H-M_alt 'P 4/m b m'
_space_group_IT_number 127
_space_group_name_Hall '-P 4 2ab'
loop_
_atom_site_label
_atom_site_type_symbol
_atom_site_fract_x
_atom_site_fract_y
_atom_site_fract_z
_atom_site_occupancy
Y1 Y 0.1684 0.3316 0.0000 1
Ag1 Ag 0.1246 0.6246 0.5000 1
Te1 Te 0.0000 0.0000 0.5000 1
```


Q) A plane-wave DFT calculation with PBE was carried out for a relaxed structure of Y2Ag2Te.

The structure in CIF format:
```
data_Y2Ag2Te
_chemical_formula_sum 'Y4 Ag4 Te2'
_cell_length_a 3.8557
_cell_length_b 3.8557
_cell_length_c 17.2169
_cell_angle_alpha 90.00
_cell_angle_beta 90.00
_cell_angle_gamma 90.00
_space_group_name_H-M_alt 'I 4/m m m'
_space_group_IT_number 139
_space_group_name_Hall '-I 4 2'
loop_
_atom_site_label
_atom_site_type_symbol
_atom_site_fract_x
_atom_site_fract_y
_atom_site_fract_z
_atom_site_occupancy
Y1 Y 0.0000 0.0000 0.1078 1
Ag1 Ag 0.0000 0.5000 0.2500 1
Te1 Te 0.0000 0.0000 0.5000 1
```


Verdict on stability: Q) comes out at the bottom.


P) A plane-wave DFT calculation with PBE was carried out for a relaxed structure of YAgTe.

The structure in CIF format:
```
data_YAgTe
_chemical_formula_sum 'Y4 Ag4 Te4'
_cell_length_a 6.9464
_cell_length_b 6.9464
_cell_length_c 6.9464
_cell_angle_alpha 90.00
_cell_angle_beta 90.00
_cell_angle_gamma 90.00
_space_group_name_H-M_alt 'F -4 3 m'
_space_group_IT_number 216
_space_group_name_Hall 'F -4 2 3'
loop_
_atom_site_label
_atom_site_type_symbol
_atom_site_fract_x
_atom_site_fract_y
_atom_site_fract_z
_atom_site_occupancy
Y1 Y 0.0000 0.0000 0.0000 1
Ag1 Ag 0.2500 0.2500 0.2500 1
Te1 Te 0.0000 0.0000 0.5000 1
```


Q) A plane-wave DFT calculation with PBE was carried out for a relaxed structure of YAgTe.

The structure in CIF format:
```
data_YAgTe
_chemical_formula_sum 'Y4 Ag4 Te4'
_cell_length_a 7.3328
_cell_length_b 4.2390
_cell_length_c 11.3939
_cell_angle_alpha 90.00
_cell_angle_beta 102.34
_cell_angle_gamma 90.00
_space_group_name_H-M_alt 'C 1 2/m 1'
_space_group_IT_number 12
loop_
_space_group_symop_operation_xyz
'x,y,z'
'-x,-y,-z'
'-x,y,-z'
'x,-y,z'
'x+1/2,y+1/2,z'
'-x+1/2,-y+1/2,-z'
'-x+1/2,y+1/2,-z'
'x+1/2,-y+1/2,z'
loop_
_atom_site_label
_atom_site_type_symbol
_atom_site_fract_x
_atom_site_fract_y
_atom_site_fract_z
_atom_site_occupancy
Y1 Y 0.2079 0.0000 0.1230 1
Ag1 Ag 0.1891 0.5000 0.5672 1
Te1 Te 0.0990 0.5000 0.2959 1
```


Verdict on stability: P) comes out at the bottom.


P) A plane-wave DFT calculation with PBE was carried out for a relaxed structure of Y2AgTe2.

The structure in CIF format:
```
data_Y2AgTe2
_chemical_formula_sum 'Y4 Ag2 Te4'
_cell_length_a 8.2862
_cell_length_b 8.2862
_cell_length_c 3.9160
_cell_angle_alpha 90.00
_cell_angle_beta 90.00
_cell_angle_gamma 90.00
_space_group_name_H-M_alt 'P 4/m b m'
_space_group_IT_number 127
_space_group_name_Hall '-P 4 2ab'
loop_
_atom_site_label
_atom_site_type_symbol
_atom_site_fract_x
_atom_site_fract_y
_atom_site_fract_z
_atom_site_occupancy
Y1 Y 0.1512 0.3488 0.0000 1
Ag1 Ag 0.0000 0.0000 0.5000 1
Te1 Te 0.1484 0.6484 0.5000 1
```


Q) A plane-wave DFT calculation with PBE was carried out for a relaxed structure of Y2AgTe2.

The structure in CIF format:
```
data_Y2AgTe2
_chemical_formula_sum 'Y4 Ag2 Te4'
_cell_length_a 8.2761
_cell_length_b 8.2761
_cell_length_c 4.0503
_cell_angle_alpha 90.00
_cell_angle_beta 90.00
_cell_angle_gamma 90.00
_space_group_name_H-M_alt 'P 4/m b m'
_space_group_IT_number 127
_space_group_name_Hall '-P 4 2ab'
loop_
_atom_site_label
_atom_site_type_symbol
_atom_site_fract_x
_atom_site_fract_y
_atom_site_fract_z
_atom_site_occupancy
Y1 Y 0.1497 0.3503 0.0000 1
Ag1 Ag 0.0000 0.0000 0.0000 1
Te1 Te 0.1507 0.6507 0.5000 1
```


Verdict on stability: P) comes out at the bottom.


P) A plane-wave DFT calculation with PBE was carried out for a relaxed structure of Y4AgTe.

The structure in CIF format:
```
data_Y4AgTe
_chemical_formula_sum 'Y16 Ag4 Te4'
_cell_length_a 8.9731
_cell_length_b 8.9731
_cell_length_c 8.9731
_cell_angle_alpha 90.00
_cell_angle_beta 90.00
_cell_angle_gamma 90.00
_space_group_name_H-M_alt 'F -4 3 m'
_space_group_IT_number 216
_space_group_name_Hall 'F -4 2 3'
loop_
_atom_site_label
_atom_site_type_symbol
_atom_site_fract_x
_atom_site_fract_y
_atom_site_fract_z
_atom_site_occupancy
Y1 Y 0.1249 0.1249 0.1249 1
Ag1 Ag 0.2500 0.2500 0.7500 1
Te1 Te 0.0000 0.0000 0.5000 1
```


Q) A plane-wave DFT calculation with PBE was carried out for a relaxed structure of Y4AgTe.

The structure in CIF format:
```
data_Y4AgTe
_chemical_formula_sum 'Y16 Ag4 Te4'
_cell_length_a 8.4667
_cell_length_b 3.9774
_cell_length_c 19.8761
_cell_angle_alpha 90.00
_cell_angle_beta 90.00
_cell_angle_gamma 90.00
_space_group_name_H-M_alt 'P n m a'
_space_group_IT_number 62
loop_
_space_group_symop_operation_xyz
'x,y,z'
'-x,-y,-z'
'-x+1/2,-y,z+1/2'
'x+1/2,y,-z+1/2'
'x+1/2,-y+1/2,-z+1/2'
'-x+1/2,y+1/2,z+1/2'
'-x,y+1/2,-z'
'x,-y+1/2,z'
loop_
_atom_site_label
_atom_site_type_symbol
_atom_site_fract_x
_atom_site_fract_y
_atom_site_fract_z
_atom_site_occupancy
Y1 Y 0.0182 0.2500 0.2175 1
Y2 Y 0.0232 0.2500 0.9276 1
Y3 Y 0.1219 0.2500 0.4386 1
Y4 Y 0.1583 0.2500 0.6557 1
Ag1 Ag 0.2471 0.2500 0.0499 1
Te1 Te 0.2187 0.7500 0.3120 1
```


Verdict on stability: P) comes out at the bottom.


P) A plane-wave DFT calculation with PBE was carried out for a relaxed structure of YAgTe3.

The structure in CIF format:
```
data_YAgTe3
_chemical_formula_sum 'Y1 Ag1 Te3'
_cell_length_a 5.3921
_cell_length_b 5.3921
_cell_length_c 5.3921
_cell_angle_alpha 90.00
_cell_angle_beta 90.00
_cell_angle_gamma 90.00
_space_group_name_H-M_alt 'P m -3 m'
_space_group_IT_number 221
_space_group_name_Hall '-P 4 2 3'
loop_
_atom_site_label
_atom_site_type_symbol
_atom_site_fract_x
_atom_site_fract_y
_atom_site_fract_z
_atom_site_occupancy
Y1 Y 0.0000 0.0000 0.0000 1
Ag1 Ag 0.5000 0.5000 0.5000 1
Te1 Te 0.0000 0.5000 0.5000 1
```


Q) A plane-wave DFT calculation with PBE was carried out for a relaxed structure of YAgTe3.

The structure in CIF format:
```
data_YAgTe3
_chemical_formula_sum 'Y2 Ag2 Te6'
_cell_length_a 4.2994
_cell_length_b 6.2628
_cell_length_c 10.9305
_cell_angle_alpha 90.00
_cell_angle_beta 90.00
_cell_angle_gamma 90.00
_space_group_name_H-M_alt 'P m m n'
_space_group_IT_number 59
loop_
_space_group_symop_operation_xyz
'x,y,z'
'-x,-y,-z'
'-x+1/2,-y+1/2,z'
'x+1/2,y+1/2,-z'
'x+1/2,-y,-z'
'-x+1/2,y,z'
'-x,y+1/2,-z'
'x,-y+1/2,z'
loop_
_atom_site_label
_atom_site_type_symbol
_atom_site_fract_x
_atom_site_fract_y
_atom_site_fract_z
_atom_site_occupancy
Y1 Y 0.2500 0.2500 0.1457 1
Ag1 Ag 0.2500 0.7500 0.4564 1
Te1 Te 0.2500 0.5066 0.6835 1
Te2 Te 0.2500 0.7500 0.0566 1
```


Verdict on stability: P) comes out at the bottom.


P) A plane-wave DFT calculation with PBE was carried out for a relaxed structure of ZnAgTe2.

The structure in CIF format:
```
data_ZnAgTe2
_chemical_formula_sum 'Zn4 Ag4 Te8'
_cell_length_a 7.2237
_cell_length_b 7.2237
_cell_length_c 7.2237
_cell_angle_alpha 90.00
_cell_angle_beta 90.00
_cell_angle_gamma 90.00
_space_group_name_H-M_alt 'F m -3 m'
_space_group_IT_number 225
_space_group_name_Hall '-F 4 2 3'
loop_
_atom_site_label
_atom_site_type_symbol
_atom_site_fract_x
_atom_site_fract_y
_atom_site_fract_z
_atom_site_occupancy
Zn1 Zn 0.0000 0.0000 0.0000 1
Ag1 Ag 0.0000 0.0000 0.5000 1
Te1 Te 0.2500 0.2500 0.2500 1
```


Q) A plane-wave DFT calculation with PBE was carried out for a relaxed structure of ZnAgTe2.

The structure in CIF format:
```
data_ZnAgTe2
_chemical_formula_sum 'Zn1 Ag1 Te2'
_cell_length_a 4.2205
_cell_length_b 4.2205
_cell_length_c 6.3363
_cell_angle_alpha 90.00
_cell_angle_beta 90.00
_cell_angle_gamma 90.00
_space_group_name_H-M_alt 'P -4 m 2'
_space_group_IT_number 115
loop_
_space_group_symop_operation_xyz
'x,y,z'
'y,-x,-z'
'-x,-y,z'
'-y,x,-z'
'-x,y,z'
'-y,-x,-z'
'x,-y,z'
'y,x,-z'
loop_
_atom_site_label
_atom_site_type_symbol
_atom_site_fract_x
_atom_site_fract_y
_atom_site_fract_z
_atom_site_occupancy
Zn1 Zn 0.0000 0.0000 0.0000 1
Ag1 Ag 0.5000 0.5000 0.0000 1
Te1 Te 0.0000 0.5000 0.2872 1
```


Verdict on stability: P) comes out at the bottom.